1.
Computed, not measured: Nb2GePS after structural relaxation at the PBE level of DFT.

Cell: 4.632 4.567 4.632 Å, 90.00 90.00 90.00°
Fractional coordinates of all 5 atoms:
S1 0.000 0.000 0.000
P1 0.500 0.500 0.500
Nb1 0.000 0.000 0.500
Nb2 0.500 0.000 0.000
Ge1 0.000 0.500 0.000

Calculated values
**Space-group type**: P4/mmm, No. 123
**E_form (uncorrected)**: 0.64 eV per atom
**DOS at the Fermi energy**: 1.24 states/eV per atom

2.
Computed, not measured: Pr3Tl4InTe8 after structural relaxation at the PBE level of DFT.

Cell: 9.138 9.681 9.140 Å, 118.17 120.00 90.00°
Fractional coordinates of all 16 atoms:
Pr1 0.500 0.500 0.000
Pr2 0.500 0.500 0.500
Pr3 0.000 0.500 0.500
Tl1 0.500 0.000 0.000
Tl2 0.500 0.000 0.500
Tl3 0.000 0.000 0.000
Tl4 0.000 0.000 0.500
In1 0.000 0.500 0.000
Te1 0.234 0.718 0.984
Te2 0.234 0.718 0.468
Te3 0.259 0.276 0.517
Te4 0.750 0.718 0.984
Te5 0.250 0.282 0.016
Te6 0.741 0.724 0.483
Te7 0.766 0.282 0.532
Te8 0.766 0.282 0.016

Calculated values
**Space-group type**: R-3m, No. 166
**E_form (uncorrected)**: -0.86 eV per atom
**DOS at the Fermi energy**: 0.13 states/eV per atom

3.
Computed, not measured: MnIn2P after structural relaxation at the PBE level of DFT.

Cell: 3.703 4.003 6.105 Å, 63.75 90.00 90.00°
Fractional coordinates of all 4 atoms:
In1 0.000 0.965 0.997
In2 0.000 0.535 0.503
Mn1 0.500 0.250 0.250
P1 0.500 0.750 0.750

Calculated values
**Energy of formation from the pure elements**: 7.375 kcal/mol of atoms
**Space-group type**: P2/m, No. 10
**DOS at the Fermi energy**: 0.53 states/eV per atom

4.
Computed, not measured: ScTlGa2 after structural relaxation at the PBE level of DFT.

Cell: 4.241 4.374 4.374 Å, 90.00 90.00 90.00°
Fractional coordinates of all 4 atoms:
Sc1 0.500 0.000 0.000
Tl1 0.500 0.500 0.500
Ga1 0.000 0.000 0.500
Ga2 0.000 0.500 0.000

Calculated values
**Energy of formation from the pure elements**: -6.507 kcal/mol of atoms
**Space-group type**: P4/mmm, No. 123
**Relative energy among the computed polymorphs**: 0 meV per atom
**DOS at the Fermi energy**: 0.45 states/eV per atom

5.
Computed, not measured: HfNiAsBr2 after structural relaxation at the PBE level of DFT.

Cell: 4.632 4.632 5.017 Å, 90.00 90.00 90.00°
Fractional coordinates of all 5 atoms:
Ni1 0.000 0.000 0.000
As1 0.000 0.000 0.500
Hf1 0.500 0.500 0.500
Br1 0.000 0.500 0.000
Br2 0.500 0.000 0.000

Calculated values
**Space-group type**: P4/mmm, No. 123
**Relative energy among the computed polymorphs**: 95 meV per atom
**E_form (uncorrected)**: 0.34 eV per atom
**DOS at the Fermi energy**: 0.74 states/eV per atom

6.
Computed, not measured: PmSmEuEr after structural relaxation at the PBE level of DFT.

Cell: 5.802 5.802 5.802 Å, 60.00 60.00 60.00°
Fractional coordinates of all 4 atoms:
Eu1 0.250 0.250 0.250
Pm1 0.750 0.750 0.750
Sm1 0.500 0.500 0.500
Er1 0.000 0.000 0.000

Calculated values
**Energy of formation from the pure elements**: 3.661 kcal/mol of atoms
**Space-group type**: F-43m, No. 216
**DOS at the Fermi energy**: 1.92 states/eV per atom

7.
Computed, not measured: RbSc2Au after structural relaxation at the PBE level of DFT.

Cell: 6.311 6.311 9.719 Å, 71.06 71.06 90.00°
Fractional coordinates of all 8 atoms:
Sc1 0.875 0.125 0.250
Sc2 0.875 0.625 0.250
Sc3 0.375 0.125 0.750
Sc4 0.875 0.125 0.750
Au1 0.000 0.000 0.000
Au2 0.750 0.250 0.500
Rb1 0.500 0.500 0.000
Rb2 0.250 0.750 0.500

Calculated values
**Energy of formation from the pure elements**: 10.077 kcal/mol of atoms
**Space-group type**: I4_1/amd, No. 141
**Relative energy among the computed polymorphs**: 339 meV per atom
**DOS at the Fermi energy**: 1.30 states/eV per atom

8.
Computed, not measured: SrLaBe3 after structural relaxation at the PBE level of DFT.

Cell: 5.215 5.215 5.215 Å, 90.00 90.00 90.00°
Fractional coordinates of all 5 atoms:
Sr1 0.500 0.500 0.500
Be1 0.000 0.500 0.000
Be2 0.000 0.000 0.500
Be3 0.500 0.000 0.000
La1 0.000 0.000 0.000

Calculated values
**Energy of formation from the pure elements**: 28.687 kcal/mol of atoms
**Space-group type**: Pm-3m, No. 221
**Relative energy among the computed polymorphs**: 0 meV per atom
**DOS at the Fermi energy**: 0.98 states/eV per atom

9.
Computed, not measured: SrNb2CoN4 after structural relaxation at the PBE level of DFT.

Cell: 3.191 5.694 10.920 Å, 90.00 90.00 106.27°
Fractional coordinates of all 16 atoms:
Sr1 0.105 0.210 0.750
Sr2 0.895 0.790 0.250
Nb1 0.368 0.736 0.553
Nb2 0.632 0.264 0.053
Nb3 0.632 0.264 0.447
Nb4 0.368 0.736 0.947
Co1 0.838 0.676 0.750
Co2 0.162 0.324 0.250
N1 0.267 0.535 0.109
N2 0.733 0.465 0.609
N3 0.733 0.465 0.891
N4 0.267 0.535 0.391
N5 0.000 0.000 0.500
N6 0.000 0.000 0.000
N7 0.428 0.856 0.750
N8 0.572 0.144 0.250

Calculated values
**Space-group type**: Cmcm, No. 63
**E_form (uncorrected)**: -0.77 eV per atom
**DOS at the Fermi energy**: 0.48 states/eV per atom

10.
Computed, not measured: Ca2SbAs after structural relaxation at the PBE level of DFT.

Cell: 5.337 5.337 5.337 Å, 60.00 60.00 60.00°
Fractional coordinates of all 4 atoms:
Sb1 0.500 0.500 0.500
As1 0.000 0.000 0.000
Ca1 0.250 0.250 0.250
Ca2 0.750 0.750 0.750

Calculated values
**Space-group type**: Fm-3m, No. 225
**E_form (uncorrected)**: -0.78 eV per atom
**DOS at the Fermi energy**: 0.81 states/eV per atom

11.
Computed, not measured: PrHoBi after structural relaxation at the PBE level of DFT.

Cell: 5.853 6.146 8.479 Å, 43.54 69.81 61.57°
Fractional coordinates of all 6 atoms:
Bi1 0.248 0.254 0.250
Bi2 0.752 0.746 0.750
Pr1 0.909 0.932 0.250
Pr2 0.091 0.068 0.750
Ho1 0.595 0.561 0.250
Ho2 0.405 0.439 0.750

Calculated values
**Energy of formation from the pure elements**: -11.010 kcal/mol of atoms
**Space-group type**: Cmcm, No. 63
**DOS at the Fermi energy**: 1.17 states/eV per atom

12.
Computed, not measured: Ac2AsI2 after structural relaxation at the PBE level of DFT.

Cell: 4.581 4.581 14.527 Å, 80.93 80.93 60.00°
Fractional coordinates of all 5 atoms:
Ac1 0.627 0.627 0.120
Ac2 0.373 0.373 0.880
As1 0.000 0.000 0.000
I1 0.243 0.243 0.271
I2 0.757 0.757 0.729

Calculated values
**Space-group type**: R-3m, No. 166
**E_form (uncorrected)**: -1.52 eV per atom
**DOS at the Fermi energy**: 0.31 states/eV per atom

13.
Computed, not measured: MnZnCo2 after structural relaxation at the PBE level of DFT.

Cell: 2.852 2.850 5.693 Å, 90.00 90.00 90.00°
Fractional coordinates of all 4 atoms:
Co1 0.000 0.000 0.015
Co2 0.000 0.000 0.485
Mn1 0.500 0.500 0.250
Zn1 0.500 0.500 0.750

Calculated values
**Energy of formation from the pure elements**: -0.071 kcal/mol of atoms
**Space-group type**: P4/mmm, No. 123
**DOS at the Fermi energy**: 0.92 states/eV per atom

14.
Computed, not measured: YOsBr after structural relaxation at the PBE level of DFT.

Cell: 6.697 6.698 3.266 Å, 75.88 75.90 28.23°
Fractional coordinates of all 3 atoms:
Y1 0.674 0.674 0.326
Os1 0.316 0.316 0.684
Br1 0.010 0.010 0.990

Calculated values
**Space-group type**: I4mm, No. 107
**Relative energy among the computed polymorphs**: 1153 meV per atom
**E_form (uncorrected)**: 0.18 eV per atom
**DOS at the Fermi energy**: 1.26 states/eV per atom

15.
Computed, not measured: Ta2Tl after structural relaxation at the PBE level of DFT.

Cell: 3.800 3.800 4.794 Å, 90.00 90.00 90.00°
Fractional coordinates of all 3 atoms:
Ta1 0.000 0.500 0.500
Ta2 0.500 0.000 0.500
Tl1 0.000 0.000 0.000

Calculated values
**Energy of formation from the pure elements**: 22.692 kcal/mol of atoms
**Space-group type**: P4/mmm, No. 123
**DOS at the Fermi energy**: 1.04 states/eV per atom

16.
Computed, not measured: VCuI6 after structural relaxation at the PBE level of DFT.

Cell: 7.290 7.291 6.559 Å, 98.64 98.65 108.58°
Fractional coordinates of all 8 atoms:
V1 0.000 0.000 0.500
Cu1 0.000 0.000 0.000
I1 0.300 0.976 0.301
I2 0.976 0.300 0.302
I3 0.024 0.700 0.698
I4 0.700 0.024 0.699
I5 0.262 0.262 0.842
I6 0.738 0.738 0.158

Calculated values
**Space-group type**: C2/m, No. 12
**E_form (uncorrected)**: -0.22 eV per atom
**DOS at the Fermi energy**: 1.10 states/eV per atom

17.
Computed, not measured: CaTeW after structural relaxation at the PBE level of DFT.

Cell: 4.716 4.716 4.716 Å, 60.00 60.00 60.00°
Fractional coordinates of all 3 atoms:
Ca1 0.500 0.500 0.500
Te1 0.250 0.250 0.250
W1 0.000 0.000 0.000

Calculated values
**Space-group type**: F-43m, No. 216
**Relative energy among the computed polymorphs**: 486 meV per atom
**E_form (uncorrected)**: 0.72 eV per atom
**DOS at the Fermi energy**: 0.80 states/eV per atom

18.
Computed, not measured: Be2SCl after structural relaxation at the PBE level of DFT.

Cell: 4.997 4.997 6.074 Å, 65.71 65.71 90.00°
Fractional coordinates of all 8 atoms:
Be1 0.578 0.125 0.250
Be2 0.172 0.625 0.250
Be3 0.375 0.422 0.750
Be4 0.875 0.828 0.750
S1 0.500 0.500 0.000
S2 0.250 0.750 0.500
Cl1 0.000 0.000 0.000
Cl2 0.750 0.250 0.500

Calculated values
**Space-group type**: I-42d, No. 122
**Relative energy among the computed polymorphs**: 0 meV per atom
**E_form (uncorrected)**: -0.35 eV per atom
**DOS at the Fermi energy**: 0.43 states/eV per atom